Computed, not measured: UTi2Sn after structural relaxation at the PBE level of DFT.

abc: 3.641 4.598 4.598
angles: 90.00 90.00 90.00
Sites, in units of the cell vectors:
U (0.500, 0.000, 0.000)
Sn (0.500, 0.500, 0.500)
Ti (0.000, 0.000, 0.500)
Ti (0.000, 0.500, 0.000)

## Properties
**DOS at the Fermi energy**: 1.780 states/eV/atom
**Crystal system**: tetragonal

***

Computed, not measured: TmPaSi2Ir5 after structural relaxation at the PBE level of DFT.

abc: 3.979 3.979 11.290
angles: 90.00 90.00 90.00
Sites, in units of the cell vectors:
Tm (0.000, 0.000, 0.500)
Pa (0.000, 0.000, 0.000)
Si (0.500, 0.500, 0.294)
Si (0.500, 0.500, 0.706)
Ir (0.000, 0.500, 0.178)
Ir (0.500, 0.000, 0.178)
Ir (0.000, 0.500, 0.822)
Ir (0.500, 0.000, 0.822)
Ir (0.500, 0.500, 0.500)

## Properties
**DOS at the Fermi energy**: 0.513 states/eV/atom
**Crystal system**: tetragonal
**E_form (uncorrected)**: -0.63 eV/atom

***

Computed, not measured: Ca2NiW after structural relaxation at the PBE level of DFT.

abc: 4.225 4.150 4.665
angles: 90.00 90.00 90.00
Sites, in units of the cell vectors:
Ni (0.500, 0.000, 0.500)
Ca (0.000, 0.000, 0.000)
Ca (0.500, 0.500, 0.000)
W (0.000, 0.500, 0.500)

## Properties
**DOS at the Fermi energy**: 1.075 states/eV/atom
**Crystal system**: orthorhombic

***

Computed, not measured: ThSnSb after structural relaxation at the PBE level of DFT.

abc: 3.282 5.444 5.444
angles: 120.00 90.00 90.00
Sites, in units of the cell vectors:
Sb (0.833, 0.667, 0.333)
Sn (0.834, 0.000, 0.000)
Th (0.333, 0.333, 0.667)

## Properties
**DOS at the Fermi energy**: 0.789 states/eV/atom
**Crystal system**: hexagonal
**E_form (uncorrected)**: -0.32 eV/atom

***

Computed, not measured: SrMg2Co after structural relaxation at the PBE level of DFT.

abc: 3.530 3.531 7.660
angles: 90.00 90.00 90.00
Sites, in units of the cell vectors:
Co (0.500, 0.500, 0.823)
Mg (0.000, 0.000, 0.950)
Mg (0.500, 0.500, 0.183)
Sr (0.000, 0.000, 0.544)

## Properties
**DOS at the Fermi energy**: 1.127 states/eV/atom
**Crystal system**: tetragonal

***

Computed, not measured: CaTc after structural relaxation at the PBE level of DFT.

abc: 3.034 3.034 9.993
angles: 90.00 90.00 120.00
Sites, in units of the cell vectors:
Ca (0.000, 0.000, 0.000)
Ca (0.000, 0.000, 0.500)
Tc (0.333, 0.667, 0.250)
Tc (0.667, 0.333, 0.750)

## Properties
**DOS at the Fermi energy**: 1.102 states/eV/atom
**Crystal system**: hexagonal

***

Computed, not measured: LiMg5Cd8 after structural relaxation at the PBE level of DFT.

abc: 7.418 7.418 7.418
angles: 110.77 106.91 110.77
Sites, in units of the cell vectors:
Li (0.250, 0.500, 0.750)
Mg (0.952, 0.411, 0.122)
Mg (0.878, 0.830, 0.290)
Mg (0.710, 0.589, 0.541)
Mg (0.500, 0.000, 0.500)
Mg (0.459, 0.170, 0.048)
Cd (0.104, 0.761, 0.000)
Cd (0.000, 0.104, 0.761)
Cd (0.839, 0.235, 0.400)
Cd (0.600, 0.439, 0.835)
Cd (0.396, 0.561, 0.161)
Cd (0.657, 0.896, 0.896)
Cd (0.239, 0.239, 0.343)
Cd (0.165, 0.765, 0.604)

## Properties
**DOS at the Fermi energy**: 0.452 states/eV/atom
**Crystal system**: tetragonal

***

Computed, not measured: TePSeN2 after structural relaxation at the PBE level of DFT.

abc: 3.889 3.889 6.370
angles: 90.00 90.00 90.00
Sites, in units of the cell vectors:
P (0.500, 0.500, 0.500)
Te (0.000, 0.000, 0.000)
Se (0.000, 0.000, 0.500)
N (0.000, 0.500, 0.000)
N (0.500, 0.000, 0.000)

## Properties
**DOS at the Fermi energy**: 0.365 states/eV/atom
**Crystal system**: tetragonal
**E_form (uncorrected)**: 1.58 eV/atom

***

These records have DFT total energy values of -31.49 -74.83 -18.99 -16.51 -11.07 -21.16 -17.77 -20.80 eV per cell, in the order they appear.